Entry 1:
Material: Tb4SiPt3
Method: DFT, PBE
State: optimized geometry

Geometry as CIF:
```
data_Tb4SiPt3
_chemical_formula_sum 'Tb4 Si1 Pt3'
_cell_length_a 5.720
_cell_length_b 4.212
_cell_length_c 7.471
_cell_angle_alpha 90.00
_cell_angle_beta 90.08
_cell_angle_gamma 90.00
_space_group_name_H-M_alt 'P 1 m 1'
_space_group_IT_number 6
loop_
_space_group_symop_operation_xyz
'x,y,z'
'x,-y,z'
loop_
_atom_site_label
_atom_site_fract_x
_atom_site_fract_y
_atom_site_fract_z
Tb1 0.000 0.000 0.000
Tb2 0.231 0.000 0.509
Tb3 0.495 0.500 0.869
Tb4 0.734 0.500 0.360
Si1 0.728 0.000 0.643
Pt1 0.209 0.500 0.229
Pt2 0.518 0.000 0.139
Pt3 0.998 0.500 0.721
```

Computed properties:
Raw total energy (eV per atom): -6.386
Calculated volume (Å³ per cell): 180


Entry 2:
Material: InCu3GeTe4
Method: DFT, PBE
State: optimized geometry

Geometry as CIF:
```
data_InCu3GeTe4
_chemical_formula_sum 'In1 Cu3 Ge1 Te4'
_cell_length_a 6.375
_cell_length_b 6.375
_cell_length_c 6.375
_cell_angle_alpha 90.00
_cell_angle_beta 90.00
_cell_angle_gamma 90.00
_space_group_name_H-M_alt 'P -4 3 m'
_space_group_IT_number 215
_space_group_name_Hall 'P -4 2 3'
loop_
_atom_site_label
_atom_site_fract_x
_atom_site_fract_y
_atom_site_fract_z
In1 0.000 0.000 0.000
Cu1 0.000 0.500 0.500
Ge1 0.500 0.500 0.500
Te1 0.256 0.256 0.256
```

Computed properties:
Raw total energy (eV per atom): -3.441
Calculated volume (Å³ per cell): 259


Entry 3:
Material: LuCdNiPb
Method: DFT, PBE
State: optimized geometry

Geometry as CIF:
```
data_LuCdNiPb
_chemical_formula_sum 'Lu4 Cd4 Ni4 Pb4'
_cell_length_a 6.929
_cell_length_b 6.929
_cell_length_c 6.929
_cell_angle_alpha 90.00
_cell_angle_beta 90.00
_cell_angle_gamma 90.00
_space_group_name_H-M_alt 'F -4 3 m'
_space_group_IT_number 216
_space_group_name_Hall 'F -4 2 3'
loop_
_atom_site_label
_atom_site_fract_x
_atom_site_fract_y
_atom_site_fract_z
Lu1 0.000 0.000 0.000
Cd1 0.250 0.250 0.750
Ni1 0.000 0.000 0.500
Pb1 0.250 0.250 0.250
```

Computed properties:
Raw total energy (eV per atom): -3.708
Calculated volume (Å³ per cell): 333


Entry 4:
Material: NaYSiPd
Method: DFT, PBE
State: optimized geometry

Geometry as CIF:
```
data_NaYSiPd
_chemical_formula_sum 'Na4 Y4 Si4 Pd4'
_cell_length_a 6.871
_cell_length_b 6.871
_cell_length_c 6.871
_cell_angle_alpha 90.00
_cell_angle_beta 90.00
_cell_angle_gamma 90.00
_space_group_name_H-M_alt 'F -4 3 m'
_space_group_IT_number 216
_space_group_name_Hall 'F -4 2 3'
loop_
_atom_site_label
_atom_site_fract_x
_atom_site_fract_y
_atom_site_fract_z
Na1 0.000 0.000 0.000
Y1 0.000 0.000 0.500
Si1 0.250 0.250 0.250
Pd1 0.250 0.250 0.750
```

Computed properties:
Raw total energy (eV per atom): -4.918
Calculated volume (Å³ per cell): 324